(1)
A plane-wave DFT calculation with PBE-GGA was carried out for a relaxed structure of NaHg6Pd5.

Results
Energy of formation from the pure elements ... -2.60 kcal/mol of atoms
D(E_F) ... 0.26 states/eV per atom
Energy above the lowest structure with this stoichiometry ... 0.00 eV/f.u.

a = 5.541 Å, b = 9.876 Å, c = 8.833 Å
α = 90.00°, β = 102.80°, γ = 90.00°
Space group C2/m (No. 12)
Inequivalent atoms, fractional coordinates:
Na (0.000, 0.000, 0.000) (multiplicity 2)
Hg (0.227, 0.500, 0.244) (multiplicity 4)
Hg (0.239, 0.325, 0.740) (multiplicity 8)
Pd (0.000, 0.148, 0.500) (multiplicity 4)
Pd (0.000, 0.325, 0.000) (multiplicity 4)
Pd (0.000, 0.500, 0.500) (multiplicity 2)



(2)
A plane-wave DFT calculation with PBE-GGA was carried out for a relaxed structure of NaHg8Pd2.

Results
Energy of formation from the pure elements ... -2.06 kcal/mol of atoms
D(E_F) ... 0.31 states/eV per atom

a = 8.496 Å, b = 12.093 Å, c = 5.384 Å
α = 90.00°, β = 101.35°, γ = 90.00°
Space group C2/m (No. 12)
Inequivalent atoms, fractional coordinates:
Na (0.000, 0.000, 0.000) (multiplicity 2)
Hg (0.000, 0.263, 0.000) (multiplicity 4)
Hg (0.122, 0.500, 0.788) (multiplicity 4)
Hg (0.201, 0.125, 0.627) (multiplicity 8)
Pd (0.000, 0.307, 0.500) (multiplicity 4)



(3)
A plane-wave DFT calculation with PBE-GGA was carried out for a relaxed structure of Na3HgPd2.

Results
Energy of formation from the pure elements ... 1.00 kcal/mol of atoms
D(E_F) ... 0.28 states/eV per atom

a = 5.3347 Å, b = 5.3347 Å, c = 4.9278 Å
α = 90.00°, β = 90.00°, γ = 120.00°
Space group P6/mmm (No. 191)
Inequivalent atoms, fractional coordinates:
Na (0.0000, 0.5000, 0.0000) (multiplicity 3)
Hg (0.0000, 0.0000, 0.5000) (multiplicity 1)
Pd (0.3333, 0.6667, 0.5000) (multiplicity 2)



(4)
A plane-wave DFT calculation with PBE-GGA was carried out for a relaxed structure of Na2HgPd.

Results
Energy of formation from the pure elements ... -3.44 kcal/mol of atoms
D(E_F) ... 0.34 states/eV per atom

a = 4.219 Å, b = 4.219 Å, c = 4.638 Å
α = 90.00°, β = 90.00°, γ = 90.00°
Space group P4/mmm (No. 123)
Inequivalent atoms, fractional coordinates:
Na (0.000, 0.500, 0.000) (multiplicity 2)
Hg (0.000, 0.000, 0.500) (multiplicity 1)
Pd (0.500, 0.500, 0.500) (multiplicity 1)



(5)
A plane-wave DFT calculation with PBE-GGA was carried out for a relaxed structure of Na3Hg4Pd.

Results
Energy of formation from the pure elements ... -4.78 kcal/mol of atoms
D(E_F) ... 0.28 states/eV per atom
Energy above the lowest structure with this stoichiometry ... 0.00 eV/f.u.

a = 3.518 Å, b = 3.518 Å, c = 15.264 Å
α = 90.00°, β = 90.00°, γ = 90.00°
Space group P4/mmm (No. 123)
Inequivalent atoms, fractional coordinates:
Na (0.000, 0.000, 0.000) (multiplicity 1)
Na (0.000, 0.000, 0.275) (multiplicity 2)
Hg (0.500, 0.500, 0.136) (multiplicity 2)
Hg (0.500, 0.500, 0.399) (multiplicity 2)
Pd (0.000, 0.000, 0.500) (multiplicity 1)



(6)
A plane-wave DFT calculation with PBE-GGA was carried out for a relaxed structure of NaHgPd2.

Results
Energy of formation from the pure elements ... -3.94 kcal/mol of atoms
D(E_F) ... 0.34 states/eV per atom

a = 4.755 Å, b = 6.117 Å, c = 4.929 Å
α = 90.00°, β = 90.00°, γ = 90.00°
Space group Pmmn (No. 59, origin choice 2)
Inequivalent atoms, fractional coordinates:
Na (0.250, 0.250, 0.192) (multiplicity 2)
Hg (0.250, 0.750, 0.199) (multiplicity 2)
Pd (0.250, 0.003, 0.686) (multiplicity 4)



(7)
A plane-wave DFT calculation with PBE-GGA was carried out for a relaxed structure of Na2Hg2Pd.

Results
Energy of formation from the pure elements ... -4.78 kcal/mol of atoms
D(E_F) ... 0.27 states/eV per atom
Energy above the lowest structure with this stoichiometry ... 0.00 eV/f.u.

a = 8.378 Å, b = 4.882 Å, c = 5.883 Å
α = 90.00°, β = 117.45°, γ = 90.00°
Space group C2/m (No. 12)
Inequivalent atoms, fractional coordinates:
Na (0.198, 0.000, 0.094) (multiplicity 4)
Hg (0.109, 0.500, 0.327) (multiplicity 4)
Pd (0.000, 0.000, 0.500) (multiplicity 2)



(8)
A plane-wave DFT calculation with PBE-GGA was carried out for a relaxed structure of NaHg6Pd4.

Results
Energy of formation from the pure elements ... -3.04 kcal/mol of atoms
D(E_F) ... 0.31 states/eV per atom

a = 10.082 Å, b = 10.127 Å, c = 7.169 Å
α = 90.00°, β = 134.67°, γ = 90.00°
Space group Cm (No. 8)
Inequivalent atoms, fractional coordinates:
Na (0.000, 0.000, 0.000) (multiplicity 2)
Hg (0.105, 0.000, 0.568) (multiplicity 2)
Hg (0.215, 0.323, 0.431) (multiplicity 4)
Hg (0.249, 0.250, 0.000) (multiplicity 4)
Hg (0.462, 0.000, 0.568) (multiplicity 2)
Pd (0.235, 0.500, 0.142) (multiplicity 2)
Pd (0.405, 0.000, 0.141) (multiplicity 2)
Pd (0.427, 0.165, 0.856) (multiplicity 4)